# Li6GaPt2

A geometry-optimized Li6GaPt2 structure (GGA-PBE, Alexandria).

Its energy above the lowest structure with this stoichiometry is 35.2 meV/atom. The energy relative to the elements is -3.4 eV/f.u. As for the density of states at the Fermi level: 3.86 states/eV/f.u.

The space group is C2/m (No. 12) and the conventional cell measures 7.120, 13.441 and 2.884 Å, with angles of 90.00, 97.68 and 90.00 degrees. The asymmetric unit holds Li at (0.173, 0.177, 0.348), Li at (0.178, 0.000, 0.866), Ga at (0.000, 0.500, 0.500) and Pt at (0.000, 0.344, 0.000).